1.
MgAg2F4 PBE relaxed; E = -29.1 eV per cell; spin magnetization = 0.00 μB/cell; SG = No. 65; formation energy from raw total energies = -2.043 eV/atom
1.0
3.1315 0.0000 0.0000
0.0000 5.2840 -3.5341
0.0000 -0.6571 6.3228
Ag F Mg
2 4 1
direct
0.5000 0.1722 0.8278
0.5000 0.8278 0.1722
0.5000 0.2569 0.2569
0.5000 0.7431 0.7431
0.0000 0.3288 0.6712
0.0000 0.6712 0.3288
0.0000 0.5000 0.5000

=====

2.
RhS4I PBE relaxed; E = -51.8 eV per cell; spin magnetization = 0.00 μB/cell; SG = No. 2; formation energy from raw total energies = -0.082 eV/atom
1.0
6.3971 1.1119 -2.5072
-0.6969 8.3322 -2.7412
-1.3043 -0.9611 7.3742
Rh S I
2 8 2
direct
0.2575 0.9344 0.9876
0.7425 0.0656 0.0124
0.9594 0.1174 0.8707
0.0405 0.8826 0.1293
0.6018 0.8584 0.2529
0.3812 0.9101 0.7437
0.6188 0.0899 0.2563
0.9765 0.7250 0.8105
0.0235 0.2750 0.1895
0.3982 0.1416 0.7471
0.8391 0.5586 0.1837
0.1608 0.4414 0.8163

=====

3.
RbSBr PBE relaxed; E = -19.1 eV per cell; spin magnetization = 0.00 μB/cell; SG = No. 12; D(E_F) = 0.42 states/eV/atom; formation energy from raw total energies = -0.932 eV/atom
1.0
3.7252 0.0000 1.6419
0.0000 5.4939 0.0000
1.8989 -2.7469 12.2609
Rb S Br
2 2 2
direct
0.2403 0.1754 0.3507
0.7597 0.8246 0.6493
0.2833 0.4732 0.9465
0.7167 0.5268 0.0535
0.2658 0.3228 0.6456
0.7342 0.6772 0.3544

=====

4.
Mg2VI PBE relaxed; E = -11.1 eV per cell; spin magnetization = 3.96 μB/cell; SG = No. 225; D(E_F) = 0.96 states/eV/atom; formation energy from raw total energies = 0.678 eV/atom
1.0
0.0000 3.6488 3.6488
3.6488 0.0000 3.6488
3.6488 3.6488 0.0000
Mg I V
2 1 1
direct
0.2500 0.2500 0.2500
0.7500 0.7500 0.7500
0.5000 0.5000 0.5000
0.0000 0.0000 0.0000

=====

5.
PAuIO2 PBE relaxed; E = -16.7 eV per cell; spin magnetization = 1.77 μB/cell; SG = No. 123; D(E_F) = 0.78 states/eV/atom; formation energy from raw total energies = 0.698 eV/atom
1.0
3.9294 0.0000 0.0000
0.0000 3.9294 0.0000
0.0000 0.0000 8.0507
P O Au I
1 2 1 1
direct
0.5000 0.5000 0.5000
0.5000 0.0000 0.0000
0.0000 0.5000 0.0000
0.0000 0.0000 0.0000
0.0000 0.0000 0.5000

=====

6.
CePu2Rh PBE relaxed; E = -168.2 eV per cell; spin magnetization = 0.00 μB/cell; SG = No. 14; D(E_F) = 1.87 states/eV/atom; E_form = -0.02 eV per atom
1.0
-0.2361 -4.0428 4.4002
0.6628 -4.3338 -3.9465
9.2121 0.5256 0.9773
Pu Rh Ce
8 4 4
direct
0.0981 0.5803 0.9032
0.5984 0.4192 0.4035
0.9016 0.9192 0.9035
0.4019 0.0803 0.4032
0.0984 0.0808 0.0965
0.9019 0.4197 0.0968
0.4016 0.5808 0.5965
0.5981 0.9197 0.5968
0.4994 0.7512 0.9441
0.5006 0.2488 0.0559
0.0005 0.2512 0.4441
0.9995 0.7488 0.5559
0.7516 0.9208 0.2506
0.7484 0.4208 0.7506
0.2484 0.0792 0.7494
0.2516 0.5792 0.2494

=====

7.
InCoAs2 PBE relaxed; E = -18.5 eV per cell; spin magnetization = 0.00 μB/cell; SG = No. 160; D(E_F) = 0.82 states/eV/atom; E_form = 0.17 eV per atom
1.0
-4.3937 3.3628 6.7294
-6.4116 1.0884 5.7970
-3.9931 0.3721 7.7340
Co As In
1 2 1
direct
0.5078 0.5078 0.5078
0.0016 0.0016 0.0016
0.2295 0.2295 0.2295
0.7611 0.7611 0.7611

=====

8.
TaRuW PBE relaxed; E = -63.7 eV per cell; spin magnetization = 0.00 μB/cell; SG = No. 129; D(E_F) = 1.03 states/eV/atom; E_form = 0.75 eV per atom
1.0
-3.7476 0.7913 -1.6964
-0.2280 -3.9611 -1.3440
-2.8823 -1.7220 5.5642
Ta W Ru
2 2 2
direct
0.5000 0.0000 0.7796
0.0000 0.5000 0.2204
0.5000 0.5000 0.5000
0.0000 0.0000 0.5000
0.0000 0.0000 0.0000
0.5000 0.5000 0.0000